A plane-wave DFT calculation with PBE with a Hubbard U was carried out for a geometry-optimized LiTm2MnO5 structure.

## Properties
raw total energy: -7.39 eV/atom

Unit cell a=6.334 b=6.334 c=5.647 alpha=90.00 beta=90.00 gamma=90.00
Fractional positions:
Li  0.000  0.000  0.000
Li  0.500  0.500  0.000
Tm  0.177  0.323  0.500
Tm  0.323  0.823  0.500
Tm  0.677  0.177  0.500
Tm  0.823  0.677  0.500
Mn  0.000  0.500  0.000
Mn  0.500  0.000  0.000
O  0.000  0.000  0.500
O  0.141  0.641  0.246
O  0.141  0.641  0.754
O  0.359  0.141  0.246
O  0.359  0.141  0.754
O  0.500  0.500  0.500
O  0.641  0.859  0.246
O  0.641  0.859  0.754
O  0.859  0.359  0.246
O  0.859  0.359  0.754